# 1
This record from Alexandria describes KZn2SnRh after structural relaxation. The functional is PBE.

The structure belongs to space group P4/mmm (No. 123); the cell edges are 5.003, 5.003 and 5.017 Å and the angles 90.00°, 90.00° and 90.00°. The distinct sites, in fractional coordinates, are K at (0.000, 0.000, 0.000), Zn at (0.000, 0.500, 0.500), Sn at (0.500, 0.500, 0.000) and Rh at (0.500, 0.500, 0.500).

As for the spin magnetization: 0.0 Bohr magnetons per cell. As for the theoretical density: 5177 kg/m3. Its electronic total energy is -3.187 eV/atom.

---

# 2
This record from Alexandria describes K2SrRh after structural relaxation. The functional is PBE.

The structure belongs to space group Pmmm (No. 47); the cell edges are 4.062, 5.543 and 6.506 Å and the angles 90.00°, 90.00° and 90.00°. The distinct sites, in fractional coordinates, are K at (0.000, 0.000, 0.217), Sr at (0.500, 0.500, 0.500) and Rh at (0.500, 0.500, 0.000).

As for the spin magnetization: 0.0 Bohr magnetons per cell. As for the theoretical density: 3046 kg/m3. Its electronic total energy is -2.204 eV/atom.

---

# 3
This record from Alexandria describes KSrRh after structural relaxation. The functional is PBE.

The structure belongs to space group P3m1 (No. 156); the cell edges are 4.7077, 4.7077 and 5.8083 Å and the angles 90.00°, 90.00° and 120.00°. The distinct sites, in fractional coordinates, are K at (0.0000, 0.0000, 0.0000), Sr at (0.3333, 0.6667, 0.4855) and Rh at (0.6667, 0.3333, 0.3485).

As for the spin magnetization: 0.0 Bohr magnetons per cell. As for the theoretical density: 3420 kg/m3. Its electronic total energy is -3.043 eV/atom.

---

# 4
This record from Alexandria describes KSrRh2 after structural relaxation. The functional is PBE.

The structure belongs to space group P4/mmm (No. 123); the cell edges are 3.147, 3.147 and 9.406 Å and the angles 90.00°, 90.00° and 90.00°. The distinct sites, in fractional coordinates, are K at (0.000, 0.000, 0.000), Sr at (0.000, 0.000, 0.500) and Rh at (0.500, 0.500, 0.268).

The offset from the most stable computed form is 406 meV/atom. As for the spin magnetization: 1.0 Bohr magnetons per cell. As for the theoretical density: 5929 kg/m3. Its electronic total energy is -3.869 eV/atom.

---

# 5
This record from Alexandria describes KSr2Rh2 after structural relaxation. The functional is PBE.

The structure belongs to space group P4/mbm (No. 127); the cell edges are 8.986, 8.986 and 3.347 Å and the angles 90.00°, 90.00° and 90.00°. The distinct sites, in fractional coordinates, are K at (0.000, 0.000, 0.000), Sr at (0.138, 0.362, 0.000) and Rh at (0.157, 0.657, 0.500).

As for the spin magnetization: 0.0 Bohr magnetons per cell. As for the theoretical density: 5163 kg/m3. Its electronic total energy is -3.704 eV/atom.

---

# 6
This record from Alexandria describes K2Sr4Rh after structural relaxation. The functional is PBE.

The structure belongs to space group I4/mmm (No. 139); the cell edges are 6.020, 6.020 and 21.460 Å and the angles 90.00°, 90.00° and 90.00°. The distinct sites, in fractional coordinates, are K at (0.000, 0.000, 0.165), Sr at (0.000, 0.000, 0.366), Sr at (0.000, 0.500, 0.000) and Rh at (0.000, 0.000, 0.500).

As for the spin magnetization: 0.0 Bohr magnetons per cell. As for the theoretical density: 2270 kg/m3. Its electronic total energy is -2.348 eV/atom.

---

Q: theoretical density of number 6 (K2Sr4Rh)?
A: 2270 kg/m3

---

Q: What is the electronic total energy in the third record?
A: -3.043 eV/atom

---

Q: theoretical density of number 6 (K2Sr4Rh)?
A: 2270 kg/m3

---

Q: The highest electronic total energy belongs to which entry?
A: K2SrRh